Entry 1:
A geometry-optimized SrAl2Si structure, computed with PBE-GGA.

Cell and atoms, written as POSCAR:
```
SrAl2Si
1.0
5.363 0.002 0.008
-2.646 5.585 -0.038
0.072 0.848 2.926
Sr Al Si
1 2 1
direct
0.500 0.500 0.000
0.000 0.000 0.000
0.500 0.000 0.500
0.000 0.500 0.500
```

Summary:
D(E_F)   1.78 states/eV/cell
Total moment   0.0 μB/f.u.
Raw formation energy   0.238 eV per atom
Space group   No. 12


Entry 2:
A geometry-optimized SrAl2Si structure, computed with PBE-GGA.

Cell and atoms, written as POSCAR:
```
SrAl2Si
1.0
4.558 0.000 0.000
0.000 4.905 -1.531
0.000 -1.096 5.020
Al Sr Si
2 1 1
direct
0.500 0.500 0.000
0.500 0.000 0.500
0.000 0.000 0.000
0.500 0.500 0.500
```

Summary:
D(E_F)   2.07 states/eV/cell
Total moment   0.0 μB/f.u.
Raw formation energy   0.005 eV per atom
Space group   No. 65


Entry 3:
A geometry-optimized Sr6AlSi2 structure, computed with PBE-GGA.

Cell and atoms, written as POSCAR:
```
Sr6AlSi2
1.0
8.909 -0.042 -3.189
-4.763 7.728 -2.672
-0.041 0.042 9.463
Si Sr Al
4 12 2
direct
0.500 0.607 0.107
0.322 0.000 0.322
0.500 0.393 0.893
0.678 0.000 0.678
0.189 0.753 0.942
0.811 0.247 0.058
0.452 0.276 0.176
0.901 0.724 0.176
0.189 0.247 0.435
0.322 0.658 0.336
0.548 0.724 0.824
0.322 0.986 0.664
0.678 0.014 0.336
0.099 0.276 0.824
0.811 0.753 0.565
0.678 0.342 0.664
0.000 0.500 0.500
0.000 0.000 0.000
```

Summary:
D(E_F)   14.52 states/eV/cell
Total moment   1.2 μB/f.u.
Raw formation energy   -0.230 eV per atom
Space group   No. 71


Entry 4:
A geometry-optimized SrAlSi2 structure, computed with PBE-GGA.

Cell and atoms, written as POSCAR:
```
SrAlSi2
1.0
-1.110 3.960 -2.739
-2.844 1.730 3.652
4.706 6.967 3.708
Al Si Sr
2 4 2
direct
0.250 0.750 0.500
0.500 0.500 0.000
0.875 0.626 0.750
0.375 0.624 0.750
0.374 0.625 0.250
0.376 0.125 0.250
0.750 0.250 0.500
0.000 0.000 0.000
```

Summary:
D(E_F)   2.48 states/eV/cell
Total moment   0.0 μB/f.u.
Raw formation energy   -0.047 eV per atom
Space group   No. 141


Entry 5:
A geometry-optimized SrAl2Si structure, computed with PBE-GGA.

Cell and atoms, written as POSCAR:
```
SrAl2Si
1.0
-0.682 4.086 3.638
-4.498 2.972 -1.153
0.884 -5.413 0.554
Si Al Sr
1 2 1
direct
0.500 0.500 0.000
0.250 0.750 0.500
0.000 0.000 0.000
0.750 0.250 0.500
```

Summary:
D(E_F)   2.35 states/eV/cell
Total moment   0.0 μB/f.u.
Raw formation energy   0.139 eV per atom
Space group   No. 119


Entry 6:
A geometry-optimized Sr2AlSi2 structure, computed with PBE-GGA.

Cell and atoms, written as POSCAR:
```
Sr2AlSi2
1.0
4.469 0.000 0.000
2.235 5.938 0.127
2.235 1.169 9.923
Sr Si Al
4 4 2
direct
0.889 0.312 0.911
0.281 0.783 0.655
0.719 0.217 0.345
0.111 0.688 0.089
0.961 0.660 0.417
0.401 0.088 0.109
0.039 0.340 0.583
0.599 0.912 0.891
0.447 0.793 0.313
0.553 0.207 0.687
```

Summary:
D(E_F)   4.47 states/eV/cell
Total moment   0.0 μB/f.u.
Raw formation energy   -0.364 eV per atom
Space group   No. 12


Entry 7:
A geometry-optimized SrAlSi structure, computed with PBE-GGA.

Cell and atoms, written as POSCAR:
```
SrAlSi
1.0
4.776 0.000 0.000
2.388 4.136 0.000
2.388 1.379 3.900
Al Si Sr
1 1 1
direct
0.500 0.500 0.500
0.750 0.750 0.750
0.000 0.000 0.000
```

Summary:
D(E_F)   1.89 states/eV/cell
Total moment   0.0 μB/f.u.
Raw formation energy   0.013 eV per atom
Space group   No. 216


Entry 8:
A geometry-optimized SrAlSi structure, computed with PBE-GGA.

Cell and atoms, written as POSCAR:
```
SrAlSi
1.0
4.264 0.000 0.000
-2.132 3.693 0.000
0.000 0.000 4.756
Al Sr Si
1 1 1
direct
0.000 0.000 0.167
0.333 0.667 0.667
0.667 0.333 0.167
```

Summary:
D(E_F)   1.40 states/eV/cell
Total moment   0.0 μB/f.u.
Raw formation energy   -0.401 eV per atom
Space group   No. 187


Entry 9:
A geometry-optimized Sr3Al2Si3 structure, computed with PBE-GGA.

Cell and atoms, written as POSCAR:
```
Sr3Al2Si3
1.0
4.389 0.000 0.000
-2.194 5.961 0.000
0.000 0.000 15.764
Si Al Sr
6 4 6
direct
0.248 0.495 0.250
0.426 0.851 0.549
0.752 0.505 0.750
0.426 0.851 0.951
0.574 0.149 0.451
0.574 0.149 0.049
0.874 0.748 0.882
0.874 0.748 0.618
0.126 0.252 0.118
0.126 0.252 0.382
0.529 0.058 0.250
0.161 0.323 0.901
0.839 0.677 0.099
0.161 0.323 0.599
0.471 0.942 0.750
0.839 0.677 0.401
```

Summary:
D(E_F)   7.23 states/eV/cell
Total moment   0.0 μB/f.u.
Raw formation energy   -0.330 eV per atom
Space group   No. 63


Entry 10:
A geometry-optimized SrAl2Si structure, computed with PBE-GGA.

Cell and atoms, written as POSCAR:
```
SrAl2Si
1.0
6.556 0.064 0.040
5.125 4.089 0.040
5.125 1.822 3.661
Sr Si Al
1 1 2
direct
0.750 0.750 0.750
0.250 0.250 0.250
0.964 0.964 0.964
0.536 0.536 0.536
```

Summary:
D(E_F)   1.14 states/eV/cell
Total moment   0.0 μB/f.u.
Raw formation energy   -0.096 eV per atom
Space group   No. 166


Entry 11:
A geometry-optimized SrAlSi2 structure, computed with PBE-GGA.

Cell and atoms, written as POSCAR:
```
SrAlSi2
1.0
-3.022 0.003 -4.330
0.125 -4.932 1.881
-2.572 0.620 1.795
Si Sr Al
2 1 1
direct
0.000 0.000 0.000
0.500 0.500 0.000
0.500 0.000 0.500
0.000 0.500 0.500
```

Summary:
D(E_F)   2.03 states/eV/cell
Total moment   0.0 μB/f.u.
Raw formation energy   0.244 eV per atom
Space group   No. 65


Entry 12:
A geometry-optimized SrAlSi2 structure, computed with PBE-GGA.

Cell and atoms, written as POSCAR:
```
SrAlSi2
1.0
-3.655 -3.943 0.548
1.655 -4.470 -2.547
2.406 3.260 3.576
Si Al Sr
2 1 1
direct
0.000 0.000 0.000
0.500 0.500 0.000
0.250 0.750 0.500
0.750 0.250 0.500
```

Summary:
D(E_F)   1.52 states/eV/cell
Total moment   0.0 μB/f.u.
Raw formation energy   0.186 eV per atom
Space group   No. 139